DFT (PBE) results for crystalline NaSrCa at its relaxed geometry.

The structure in POSCAR format:
```
NaSrCa
1.0
2.948 -2.792 0.000
2.948 2.792 0.000
-0.018 0.000 15.849
Na Sr Ca
2 2 2
Direct
0.250 0.250 0.064
0.750 0.750 0.936
0.249 0.249 0.400
0.751 0.751 0.600
0.252 0.252 0.782
0.748 0.748 0.218
```

Computed properties:
Fermi-level density of states   0.716 states/eV/atom
E above lowest polymorph   0.00 eV per formula unit
Calculated formation energy   0.70 kcal/mol of atoms

DFT (PBE) results for crystalline NaSr7Ca3 at its relaxed geometry.

The structure in POSCAR format:
```
NaSr7Ca3
1.0
8.243 0.000 0.000
-4.121 7.138 0.000
0.000 0.000 9.898
Na Sr Ca
1 7 3
Direct
0.000 0.000 0.000
0.333 0.166 0.345
0.333 0.667 0.343
0.500 0.001 0.995
0.500 0.500 0.995
0.834 0.166 0.345
0.834 0.667 0.345
0.999 0.500 0.995
0.166 0.333 0.672
0.166 0.834 0.672
0.667 0.834 0.672
```

Computed properties:
Fermi-level density of states   1.122 states/eV/atom
E above lowest polymorph   0.45 eV per formula unit
Calculated formation energy   3.06 kcal/mol of atoms

DFT (PBE) results for crystalline Na3Sr8Ca2 at its relaxed geometry.

The structure in POSCAR format:
```
Na3Sr8Ca2
1.0
7.621 -6.684 0.000
7.621 6.684 0.000
-2.774 0.000 6.447
Na Sr Ca
3 8 2
Direct
0.000 0.000 0.000
0.258 0.742 0.500
0.742 0.258 0.500
0.085 0.597 0.847
0.147 0.147 0.565
0.403 0.915 0.153
0.433 0.433 0.709
0.567 0.567 0.291
0.597 0.085 0.847
0.853 0.853 0.435
0.915 0.403 0.153
0.297 0.297 0.139
0.703 0.703 0.861
```

Computed properties:
Fermi-level density of states   0.936 states/eV/atom
E above lowest polymorph   0.00 eV per formula unit
Calculated formation energy   2.36 kcal/mol of atoms

DFT (PBE) results for crystalline NaSr12Ca3 at its relaxed geometry.

The structure in POSCAR format:
```
NaSr12Ca3
1.0
5.901 0.000 0.000
0.000 5.901 0.000
0.000 0.000 23.554
Na Sr Ca
1 12 3
Direct
0.000 0.000 0.000
0.000 0.500 0.126
0.000 0.500 0.375
0.000 0.500 0.625
0.000 0.500 0.874
0.500 0.000 0.126
0.500 0.000 0.375
0.500 0.000 0.625
0.500 0.000 0.874
0.500 0.500 0.000
0.500 0.500 0.250
0.500 0.500 0.500
0.500 0.500 0.750
0.000 0.000 0.251
0.000 0.000 0.500
0.000 0.000 0.749
```

Computed properties:
Fermi-level density of states   1.105 states/eV/atom
Calculated formation energy   0.39 kcal/mol of atoms

DFT (PBE) results for crystalline NaSrCa at its relaxed geometry.

The structure in POSCAR format:
```
NaSrCa
1.0
-2.144 2.144 7.226
2.144 -2.144 7.226
2.144 2.144 -7.226
Na Sr Ca
1 1 1
Direct
0.000 0.000 0.000
0.332 0.332 0.000
0.645 0.645 0.000
```

Computed properties:
Fermi-level density of states   0.777 states/eV/atom
E above lowest polymorph   0.01 eV per formula unit
Calculated formation energy   0.79 kcal/mol of atoms

DFT (PBE) results for crystalline Na2Sr2Ca5 at its relaxed geometry.

The structure in POSCAR format:
```
Na2Sr2Ca5
1.0
7.027 -3.036 0.000
7.027 3.036 0.000
-2.248 0.000 9.184
Na Sr Ca
2 2 5
Direct
0.211 0.211 0.310
0.789 0.789 0.690
0.123 0.123 0.662
0.877 0.877 0.338
0.000 0.000 0.000
0.339 0.339 0.019
0.432 0.432 0.662
0.568 0.568 0.338
0.661 0.661 0.981
```

Computed properties:
Fermi-level density of states   0.893 states/eV/atom
Calculated formation energy   0.95 kcal/mol of atoms

DFT (PBE) results for crystalline NaSrCaTc2 at its relaxed geometry.

The structure in POSCAR format:
```
NaSrCaTc2
1.0
5.113 0.000 0.000
0.000 5.113 0.000
0.000 0.000 5.356
Na Sr Ca Tc
1 1 1 2
Direct
0.000 0.000 0.000
0.000 0.000 0.500
0.500 0.500 0.000
0.000 0.500 0.500
0.500 0.000 0.500
```

Computed properties:
Fermi-level density of states   1.051 states/eV/atom
Calculated formation energy   39.92 kcal/mol of atoms

DFT (PBE) results for crystalline NaSrCaTl2 at its relaxed geometry.

The structure in POSCAR format:
```
NaSrCaTl2
1.0
6.120 0.000 0.000
0.000 6.120 0.000
0.000 0.000 5.896
Na Sr Ca Tl
1 1 1 2
Direct
0.000 0.000 0.000
0.000 0.000 0.500
0.500 0.500 0.000
0.000 0.500 0.500
0.500 0.000 0.500
```

Computed properties:
Fermi-level density of states   0.951 states/eV/atom
Calculated formation energy   8.79 kcal/mol of atoms

DFT (PBE) results for crystalline NaSr2CaTl at its relaxed geometry.

The structure in POSCAR format:
```
NaSr2CaTl
1.0
6.459 0.000 0.000
0.000 6.459 0.000
0.000 0.000 6.102
Na Sr Ca Tl
1 2 1 1
Direct
0.000 0.000 0.000
0.000 0.500 0.500
0.500 0.000 0.500
0.500 0.500 0.000
0.500 0.500 0.500
```

Computed properties:
Fermi-level density of states   0.817 states/eV/atom
Calculated formation energy   -0.85 kcal/mol of atoms

DFT (PBE) results for crystalline NaSr2CaZn at its relaxed geometry.

The structure in POSCAR format:
```
NaSr2CaZn
1.0
6.426 0.000 0.000
0.000 6.426 0.000
0.000 0.000 6.111
Na Sr Ca Zn
1 2 1 1
Direct
0.000 0.000 0.000
0.000 0.500 0.000
0.500 0.000 0.000
0.000 0.000 0.500
0.500 0.500 0.500
```

Computed properties:
Fermi-level density of states   1.192 states/eV/atom
E above lowest polymorph   2.57 eV per formula unit
Calculated formation energy   12.07 kcal/mol of atoms

DFT (PBE) results for crystalline NaSr2CaZn at its relaxed geometry.

The structure in POSCAR format:
```
NaSr2CaZn
1.0
6.246 0.000 0.000
0.000 6.246 0.000
0.000 0.000 5.632
Na Sr Ca Zn
1 2 1 1
Direct
0.000 0.000 0.000
0.000 0.500 0.500
0.500 0.000 0.500
0.500 0.500 0.000
0.000 0.000 0.500
```

Computed properties:
Fermi-level density of states   0.842 states/eV/atom
E above lowest polymorph   0.39 eV per formula unit
Calculated formation energy   2.02 kcal/mol of atoms

DFT (PBE) results for crystalline NaSr2CaZn at its relaxed geometry.

The structure in POSCAR format:
```
NaSr2CaZn
1.0
6.180 0.000 0.000
0.000 6.180 0.000
0.000 0.000 5.926
Na Sr Ca Zn
1 2 1 1
Direct
0.000 0.000 0.000
0.000 0.500 0.500
0.500 0.000 0.500
0.500 0.500 0.000
0.500 0.500 0.500
```

Computed properties:
Fermi-level density of states   0.930 states/eV/atom
E above lowest polymorph   0.00 eV per formula unit
Calculated formation energy   0.20 kcal/mol of atoms